No. 1
DFT (GGA-PBE) results for a relaxed Ce2ZnGe2 crystal.

Lattice parameters (Å, degrees): 10.9238 4.3036 10.6385 90.00 117.97 90.00
Space group C2/m (No. 12)
One atom of each set of equivalent atoms:
Ce (0.0723, 0.0000, 0.3546) x4
Ce (0.1995, 0.0000, 0.0608) x4
Zn (0.2317, 0.0000, 0.7133) x4
Ge (0.0098, 0.5000, 0.1268) x4
Ge (0.1272, 0.5000, 0.5890) x4

## Properties
- DFT formation energy (meV/atom) = -596
- excess energy over the best structure of this formula in the dataset (meV/atom) = 13
- calculated total energy (eV per atom) = -5.0715
- DOS(E_F) (states/eV/cell) = 39.74

***

No. 2
DFT (GGA-PBE) results for a relaxed Ce2Zn5Ge crystal.

Lattice parameters (Å, degrees): 4.4275 16.0498 8.8124 90.00 90.00 90.00
Space group Cmcm (No. 63)
One atom of each set of equivalent atoms:
Ce (0.0000, 0.0000, 0.0000) x4
Ce (0.0000, 0.2055, 0.2500) x4
Zn (0.0000, 0.1856, 0.6057) x8
Zn (0.0000, 0.3473, 0.5217) x8
Zn (0.0000, 0.4025, 0.2500) x4
Ge (0.0000, 0.4421, 0.7500) x4

## Properties
- DFT formation energy (meV/atom) = -409
- calculated total energy (eV per atom) = -3.2660
- DOS(E_F) (states/eV/cell) = 41.62

***

No. 3
DFT (GGA-PBE) results for a relaxed Ce2ZnGe2 crystal.

Lattice parameters (Å, degrees): 10.9320 4.2408 10.6734 90.00 112.26 90.00
Space group C2/m (No. 12)
One atom of each set of equivalent atoms:
Ce (0.0762, 0.0000, 0.4156) x4
Ce (0.1907, 0.5000, 0.1453) x4
Zn (0.0780, 0.5000, 0.8124) x4
Ge (0.0500, 0.0000, 0.9130) x4
Ge (0.1676, 0.5000, 0.6341) x4

## Properties
- DFT formation energy (meV/atom) = -609
- excess energy over the best structure of this formula in the dataset (meV/atom) = 0
- calculated total energy (eV per atom) = -5.0846
- DOS(E_F) (states/eV/cell) = 41.49

***

No. 4
DFT (GGA-PBE) results for a relaxed CeZnGe crystal.

Lattice parameters (Å, degrees): 4.2458 4.3065 14.7014 90.00 90.00 90.00
Space group Imm2 (No. 44)
One atom of each set of equivalent atoms:
Ce (0.0000, 0.0000, 0.0000) x2
Ce (0.0000, 0.5000, 0.3690) x2
Zn (0.0000, 0.5000, 0.1442) x2
Zn (0.0000, 0.5000, 0.8254) x2
Ge (0.0000, 0.0000, 0.2256) x2
Ge (0.0000, 0.0000, 0.5280) x2

## Properties
- DFT formation energy (meV/atom) = -288
- calculated total energy (eV per atom) = -4.2301
- DOS(E_F) (states/eV/cell) = 11.51